Na2NiRhO4 | PBE+U | optimized geometry

## Properties
total energy	-5.25	eV per atom
spin magnetization	0.123	μB/atom
ρ	5.16	g cm⁻³
V	10.93	Å³ per atom

Cell lengths 5.3497, 3.1041, 5.5765 Å; angles 90.00, 109.15, 90.00 degrees
Closest atoms and distances in Å follow each position.
Element x y z (fractional)
Na 0.0000 0.0000 0.0000  6 O 2.38-2.44
Na 0.5000 0.5000 0.0000  6 O 2.34-2.38
Ni 0.0000 0.5000 0.5000  6 O 2.08-2.14
Rh 0.5000 0.0000 0.5000  6 O 2.03-2.07
O 0.2407 0.0000 0.6956  1 Rh 2.03, 2 Ni 2.08
O 0.2738 0.5000 0.2943  2 Rh 2.07, 1 Ni 2.14
O 0.7262 0.5000 0.7057  2 Rh 2.07, 1 Ni 2.14
O 0.7593 0.0000 0.3044  1 Rh 2.03, 2 Ni 2.08